Below is a relaxed Mg5TlSn6 crystal, with properties calculated at the PBE-GGA level.

POSCAR file:
```
Mg5TlSn6
1.0
4.9952 -7.0693 0.0000
4.9952 7.0693 0.0000
-2.2584 0.0000 4.2268
Mg Tl Sn
5 1 6
Cartesian
0.0000 0.0000 0.0000
3.8660 4.5750 2.1134
4.9952 2.2399 0.0000
4.9952 -2.2399 0.0000
3.8660 -4.5750 2.1134
3.8660 0.0000 2.1134
1.8384 2.4029 1.0002
0.6152 0.0000 3.0733
1.8384 -2.4029 1.0002
5.8936 2.4029 3.2266
7.1168 0.0000 1.1535
5.8936 -2.4029 3.2266
```

**Volume**: 299 Å³/cell
**Magnetic moment**: 0.0000 μB/atom
**DFT total energy**: -2.948 eV per atom
**Formation energy**: -0.08 eV per atom
**Space-group type**: No. 12
**N(E_F)**: 0.37 states/eV/atom